Material: Cs4ThSe4
Method: DFT, PBE-GGA
State: optimized geometry

Cell: 4.6506 8.7890 10.7990 Å, 76.03 77.57 74.66°
Atoms (fractional coordinates):
Cs: 0.7032 0.4178 0.1759
Cs: 0.8801 0.8368 0.4029
Cs: 0.2968 0.5822 0.8241
Cs: 0.1199 0.1632 0.5971
Th: 0.5000 0.0000 0.0000
Se: 0.3249 0.1016 0.2485
Se: 0.6751 0.8984 0.7515
Se: 0.9323 0.2231 0.9123
Se: 0.0677 0.7769 0.0877

Calculated values
DFT total energy (eV per atom): -4.107
Volume (Å³ per atom): 45.29
Spin magnetization (μB per formula unit): 0.000
Formation energy without anion corrections (eV/atom): -1.355